Density functional theory data (PBE) for crystalline CsAc2HgS5 at its relaxed geometry.

Unit cell a=9.5633 b=9.5633 c=9.5633 alpha=127.85 beta=127.85 gamma=76.87
Closest atoms and distances in Å follow each position.
Atoms (fractional coordinates):
Cs  0.2500  0.2500  0.0000  10 S 3.75-3.76
Cs  0.7500  0.7500  0.0000  10 S 3.75-3.76
Ac  0.1629  0.6629  0.8257  8 S 2.94-3.16
Ac  0.3371  0.1629  0.5000  8 S 2.94-3.16
Ac  0.6629  0.8371  0.5000  8 S 2.94-3.16
Ac  0.8371  0.3371  0.1743  8 S 2.94-3.16
Hg  0.2500  0.7500  0.5000  4 S 2.56
Hg  0.7500  0.2500  0.5000  4 S 2.56
S  0.0000  0.0000  0.0000  4 Ac 3.15
S  0.0212  0.2352  0.5000  1 Hg 2.56
S  0.2352  0.7352  0.2140  1 Hg 2.56
S  0.2648  0.4788  0.5000  1 Hg 2.56
S  0.4788  0.9788  0.2140  1 Hg 2.56
S  0.5000  0.5000  0.0000  4 Ac 3.15
S  0.5212  0.0212  0.7860  1 Hg 2.56
S  0.7352  0.5212  0.5000  1 Hg 2.56
S  0.7648  0.2648  0.7860  1 Hg 2.56
S  0.9788  0.7648  0.5000  1 Hg 2.56

Values from the calculation:
DOS at the Fermi energy: 13.167 states/eV per cell
Final energy: -4.71 eV/atom